Arrangement w

VASP calculation (PBE) on a geometry-optimized Pa2FeCu structure.

Structure (CIF):
```
data_Pa2FeCu
_symmetry_space_group_name_H-M 'P 1'
_symmetry_Int_Tables_number 1
_cell_length_a 3.287
_cell_length_b 3.287
_cell_length_c 7.048
_cell_angle_alpha 90.00
_cell_angle_beta 90.00
_cell_angle_gamma 90.00
loop_
_symmetry_equiv_pos_as_xyz
'x,y,z'
loop_
_atom_site_label
_atom_site_type_symbol
_atom_site_fract_x
_atom_site_fract_y
_atom_site_fract_z
_atom_site_occupancy
Pa1 Pa 0.000 0.000 0.775 1
Pa2 Pa 0.000 0.000 0.225 1
Cu1 Cu 0.500 0.500 0.500 1
Fe1 Fe 0.500 0.500 0.000 1
```

The value obtained for the total magnetic moment is 0.008 μB per atom. The calculation puts the volume at 76 Å³/f.u. As for the space-group type: P4/mmm (123).

Arrangement x

VASP calculation (PBE) on a geometry-optimized Pa2FeCu structure.

Structure (CIF):
```
data_Pa2FeCu
_symmetry_space_group_name_H-M 'P 1'
_symmetry_Int_Tables_number 1
_cell_length_a 3.015
_cell_length_b 3.015
_cell_length_c 10.156
_cell_angle_alpha 81.47
_cell_angle_beta 81.47
_cell_angle_gamma 60.00
loop_
_symmetry_equiv_pos_as_xyz
'x,y,z'
loop_
_atom_site_label
_atom_site_type_symbol
_atom_site_fract_x
_atom_site_fract_y
_atom_site_fract_z
_atom_site_occupancy
Pa1 Pa 0.906 0.906 0.281 1
Pa2 Pa 0.094 0.094 0.719 1
Cu1 Cu 0.000 0.000 0.000 1
Fe1 Fe 0.500 0.500 0.500 1
```

The value obtained for the total magnetic moment is 0.155 μB per atom. The calculation puts the volume at 79 Å³/f.u. As for the space-group type: R-3m (166).

Stability ranking, top entry: arrangement w; the second entry is 0.430 eV/atom less favorable.